(1)
# Zn2MoAu (GGA-PBEsol, optimized geometry)
# Calculated density   11.52 g/cm3
# Raw total energy   -17.73 eV for the cell shown
# M_tot   2.03 μB per formula unit
# Symmetry   F-43m, No. 216
# Crystal system   cubic
# ΔE_f   282 meV per atom
# Polymorph energy (0 for the lowest one)   234 meV/atom
data_Zn2MoAu
_space_group_name_H-M_alt 'P 1'
_space_group_IT_number 1
_cell_length_a 4.420
_cell_length_b 4.420
_cell_length_c 4.420
_cell_angle_alpha 60.00
_cell_angle_beta 60.00
_cell_angle_gamma 60.00
loop_
_space_group_symop_operation_xyz
'x,y,z'
loop_
_atom_site_label
_atom_site_type_symbol
_atom_site_fract_x
_atom_site_fract_y
_atom_site_fract_z
_atom_site_occupancy
Zn1 Zn 0.000 0.000 0.000 1
Zn2 Zn 0.250 0.250 0.250 1
Mo1 Mo 0.500 0.500 0.500 1
Au1 Au 0.750 0.750 0.750 1

=====

(2)
# Zn2MoAu (GGA-PBEsol, optimized geometry)
# Calculated density   11.95 g/cm3
# Raw total energy   -18.06 eV for the cell shown
# M_tot   1.65 μB per formula unit
# Symmetry   Fm-3m, No. 225
# Crystal system   cubic
# ΔE_f   199 meV per atom
# Polymorph energy (0 for the lowest one)   151 meV/atom
data_Zn2MoAu
_space_group_name_H-M_alt 'P 1'
_space_group_IT_number 1
_cell_length_a 4.367
_cell_length_b 4.367
_cell_length_c 4.367
_cell_angle_alpha 60.00
_cell_angle_beta 60.00
_cell_angle_gamma 60.00
loop_
_space_group_symop_operation_xyz
'x,y,z'
loop_
_atom_site_label
_atom_site_type_symbol
_atom_site_fract_x
_atom_site_fract_y
_atom_site_fract_z
_atom_site_occupancy
Zn1 Zn 0.250 0.250 0.250 1
Zn2 Zn 0.750 0.750 0.750 1
Mo1 Mo 0.000 0.000 0.000 1
Au1 Au 0.500 0.500 0.500 1

=====

(3)
# ZrMo3Au (GGA-PBEsol, optimized geometry)
# Calculated density   8.83 g/cm3
# Raw total energy   -38.41 eV for the cell shown
# M_tot   0.00 μB per formula unit
# Symmetry   Pm-3m, No. 221
# Crystal system   cubic
# ΔE_f   1981 meV per atom
data_ZrMo3Au
_space_group_name_H-M_alt 'P 1'
_space_group_IT_number 1
_cell_length_a 4.767
_cell_length_b 4.767
_cell_length_c 4.767
_cell_angle_alpha 90.00
_cell_angle_beta 90.00
_cell_angle_gamma 90.00
loop_
_space_group_symop_operation_xyz
'x,y,z'
loop_
_atom_site_label
_atom_site_type_symbol
_atom_site_fract_x
_atom_site_fract_y
_atom_site_fract_z
_atom_site_occupancy
Zr1 Zr 0.000 0.000 0.000 1
Mo1 Mo 0.000 0.500 0.500 1
Mo2 Mo 0.500 0.000 0.500 1
Mo3 Mo 0.500 0.500 0.000 1
Au1 Au 0.500 0.500 0.500 1